[1]
BaHgSb2: optimized geometry, PBE.

Unit cell a=5.2834 b=5.2834 c=6.4362 alpha=65.88 beta=65.88 gamma=59.75
Closest atoms and distances in Å follow each position.
Element x y z (fractional)
Sb (0.0119, 0.0119, 0.9644)  3 Sb 3.11, 3 Hg 3.31
Sb (0.7148, 0.7148, 0.8563)  3 Sb 3.11
Hg (0.2693, 0.2693, 0.1919)  6 Sb 3.31-3.61, 3 Ba 3.48
Ba (0.5040, 0.5040, 0.4874)  3 Hg 3.48, 4 Sb 3.58-3.70

- Magnetic moment: 0.00 μB/cell
- Crystal system: monoclinic
- Total DFT energy (no corrections): -12.39 eV for the cell shown
- Formation energy from raw total energies: -0.4795 eV per atom

---

[2]
BaHg2Sb: optimized geometry, PBE.

Unit cell a=5.6537 b=5.0518 c=5.0152 alpha=88.88 beta=90.00 gamma=90.00
Closest atoms and distances in Å follow each position.
Element x y z (fractional)
Hg (0.0000, 0.0231, 0.0503)  2 Hg 3.07-3.38, 2 Sb 3.22
Hg (0.0000, 0.4769, 0.4497)  2 Hg 3.07-3.38, 2 Sb 3.22
Ba (0.5000, 0.7500, 0.7500)  4 Hg 3.50, 4 Sb 3.52-3.59
Sb (0.5000, 0.2500, 0.2500)  4 Hg 3.22, 4 Ba 3.52-3.59

- Magnetic moment: 0.00 μB/cell
- Crystal system: monoclinic
- Total DFT energy (no corrections): -8.40 eV for the cell shown
- Formation energy from raw total energies: -0.4376 eV per atom

---

[3]
BaHg2Sb: optimized geometry, PBE.

Unit cell a=5.0309 b=5.0309 c=6.7121 alpha=68.01 beta=68.01 gamma=59.78
Closest atoms and distances in Å follow each position.
Element x y z (fractional)
Sb (0.4730, 0.4730, 0.5806)  3 Hg 3.05-3.06
Ba (0.2541, 0.2541, 0.2371)  3 Hg 3.40, 3 Sb 3.57
Hg (0.7542, 0.7542, 0.7372)  3 Sb 3.05-3.06, 3 Hg 3.16-3.17
Hg (0.0186, 0.0186, 0.9450)  3 Hg 3.16-3.17, 3 Ba 3.40

- Magnetic moment: 0.00 μB/cell
- Crystal system: monoclinic
- Total DFT energy (no corrections): -8.44 eV for the cell shown
- Formation energy from raw total energies: -0.4475 eV per atom